Entry 1:
Density functional theory data (PBE) for a relaxed Nb2HgBr crystal.

a b c (Å): 4.7493 4.7493 4.7493
angles (deg): 60.00 60.00 60.00
Atoms (fractional coordinates):
1 Nb 0.2500 0.2500 0.2500
2 Nb 0.7500 0.7500 0.7500
3 Hg 0.5000 0.5000 0.5000
4 Br 0.0000 0.0000 0.0000

ΔE to the lowest computed polymorph, eV/f.u.: 0.00
Formation energy from raw total energies, eV per atom: 0.550

***

Entry 2:
Density functional theory data (PBE) for a relaxed Ca2CdSi crystal.

a b c (Å): 5.9084 5.9084 5.9084
angles (deg): 134.77 134.77 65.88
Atoms (fractional coordinates):
1 Ca 0.0000 0.0000 0.0000
2 Ca 0.2500 0.7500 0.5000
3 Cd 0.5000 0.5000 0.0000
4 Si 0.7500 0.2500 0.5000

Formation energy from raw total energies, eV per atom: -0.151

***

Entry 3:
Density functional theory data (PBE) for a relaxed CeEuGaHg crystal.

a b c (Å): 5.3700 5.3700 5.3700
angles (deg): 60.00 60.00 60.00
Atoms (fractional coordinates):
1 Eu 0.7500 0.7500 0.7500
2 Ga 0.5000 0.5000 0.5000
3 Hg 0.0000 0.0000 0.0000
4 Ce 0.2500 0.2500 0.2500

ΔE_f, eV/atom: -0.40

***

Entry 4:
Density functional theory data (PBE) for a relaxed CsAuF2 crystal.

a b c (Å): 7.3459 7.3459 7.3459
angles (deg): 36.31 36.31 36.31
Atoms (fractional coordinates):
1 Cs 0.5000 0.5000 0.5000
2 Au 0.0000 0.0000 0.0000
3 F 0.9019 0.9019 0.9019
4 F 0.0981 0.0981 0.0981

ΔE to the lowest computed polymorph, eV/f.u.: 0.00
Formation energy from raw total energies, eV per atom: -1.724

***

Entry 5:
Density functional theory data (PBE) for a relaxed CaPSN2 crystal.

a b c (Å): 4.4762 4.4762 5.5377
angles (deg): 90.00 90.00 90.00
Atoms (fractional coordinates):
1 P 0.5000 0.5000 0.5000
2 Ca 0.0000 0.0000 0.0000
3 S 0.0000 0.0000 0.5000
4 N 0.0000 0.5000 0.0000
5 N 0.5000 0.0000 0.0000

ΔE to the lowest computed polymorph, eV/f.u.: 8.17
Formation energy from raw total energies, eV per atom: 1.721

***

Entry 6:
Density functional theory data (PBE) for a relaxed NpTiTlCl6 crystal.

a b c (Å): 6.6878 6.6878 14.7902
angles (deg): 90.00 90.00 120.00
Atoms (fractional coordinates):
1 Np 0.3333 0.6667 0.2500
2 Np 0.6667 0.3333 0.7500
3 Ti 0.6667 0.3333 0.2500
4 Ti 0.3333 0.6667 0.7500
5 Tl 0.0000 0.0000 0.0000
6 Tl 0.0000 0.0000 0.5000
7 Cl 0.6581 0.6313 0.1491
8 Cl 0.9732 0.3419 0.1491
9 Cl 0.3419 0.9732 0.6491
10 Cl 0.0268 0.6581 0.8509
11 Cl 0.3687 0.3419 0.3509
12 Cl 0.9732 0.6313 0.3509
13 Cl 0.6313 0.9732 0.8509
14 Cl 0.6581 0.0268 0.3509
15 Cl 0.0268 0.3687 0.6491
16 Cl 0.3687 0.0268 0.1491
17 Cl 0.6313 0.6581 0.6491
18 Cl 0.3419 0.3687 0.8509

Formation energy from raw total energies, eV per atom: -1.478